{"formula": "CeTmIrOs", "functional": "PBE-GGA", "state": "relaxed", "lattice": [[-1.8635, 2.6300, -3.6282], [-4.2678, 2.2394, 0.5695], [-0.1744, 4.8374, 0.3502]], "species": ["Tm", "Ir", "Os", "Ce"], "frac_coords": [[0.2500, 0.2500, 0.2500], [0.0000, 0.0000, 0.0000], [0.5000, 0.5000, 0.5000], [0.7500, 0.7500, 0.7500]], "formation_enthalpy_0k_kcal_per_mol_atoms": -10.58}